# PBE Tl2BiPt2, optimized geometry
data_Tl2BiPt2
_space_group_name_H-M_alt 'P 1 21/m 1'
_space_group_IT_number 11
_cell_length_a 6.524
_cell_length_b 3.993
_cell_length_c 9.555
_cell_angle_alpha 90.00
_cell_angle_beta 93.24
_cell_angle_gamma 90.00
loop_
_space_group_symop_operation_xyz
'x,y,z'
'-x,-y,-z'
'-x,y+1/2,-z'
'x,-y+1/2,z'
loop_
_atom_site_label
_atom_site_fract_x
_atom_site_fract_y
_atom_site_fract_z
Tl1 0.093 0.250 0.381
Tl2 0.201 0.250 0.043
Bi1 0.478 0.250 0.728
Pt1 0.219 0.750 0.826
Pt2 0.333 0.750 0.527
# Energy relative to the lowest polymorph listed for this composition = 0 meV per atom
# Energy of formation from the pure elements = -0.07 eV per atom
# Crystal system = monoclinic
# Size of the total moment = 0.000 μB per formula unit